Below is a relaxed TaMn2CuCl crystal, with properties calculated at the PBE-GGA level.

Lattice parameters (Å, degrees): 4.711 4.727 4.711 90.00 90.00 90.00
Element x y z (fractional)
Cu 0.000 0.000 0.000
Ta 0.000 0.500 0.000
Mn 0.000 0.000 0.500
Mn 0.500 0.000 0.000
Cl 0.500 0.500 0.500

- Uncorrected energy: -6.172 eV per atom
- Volume: 104.9 Å³/cell